No. 1
Compound: LaY2Ni
Source: Alexandria via LeMat-Bulk
Functional: GGA-PBE
Structure: optimized geometry

SG	No. 71
formation energy from the elements	-103	meV/atom
total moment	0.0	Bohr magnetons per cell
relative energy among the computed polymorphs	114	meV/atom

Cell: 6.532 6.532 6.532 Å, 148.05 130.48 60.15°
Fractional coordinates of all 4 atoms:
La (0.000, 0.000, 0.000)
Y (0.308, 0.808, 0.500)
Y (0.692, 0.192, 0.500)
Ni (0.500, 0.500, 0.000)

No. 2
Compound: TbAg2Sn
Source: Alexandria via LeMat-Bulk
Functional: GGA-PBE
Structure: optimized geometry

SG	No. 123
formation energy from the elements	-306	meV/atom
total moment	0.0	Bohr magnetons per cell

Cell: 4.467 4.467 4.528 Å, 90.00 90.00 90.00°
Fractional coordinates of all 4 atoms:
Tb (0.000, 0.000, 0.000)
Ag (0.000, 0.500, 0.500)
Ag (0.500, 0.000, 0.500)
Sn (0.500, 0.500, 0.000)

No. 3
Compound: Fe3RuC
Source: Alexandria via LeMat-Bulk
Functional: GGA-PBE
Structure: optimized geometry

SG	No. 221
formation energy from the elements	2583	meV/atom
total moment	9.3	Bohr magnetons per cell
relative energy among the computed polymorphs	2330	meV/atom

Cell: 4.566 4.566 4.566 Å, 90.00 90.00 90.00°
Fractional coordinates of all 5 atoms:
Fe (0.000, 0.000, 0.500)
Fe (0.000, 0.500, 0.000)
Fe (0.500, 0.000, 0.000)
Ru (0.000, 0.000, 0.000)
C (0.500, 0.500, 0.500)

No. 4
Compound: TlCuGe
Source: Alexandria via LeMat-Bulk
Functional: GGA-PBE
Structure: optimized geometry

SG	No. 2
formation energy from the elements	135	meV/atom
total moment	0.0	Bohr magnetons per cell

Cell: 3.347 4.281 10.086 Å, 88.65 89.70 67.11°
Fractional coordinates of all 6 atoms:
Tl (0.144, 0.216, 0.137)
Tl (0.856, 0.784, 0.863)
Cu (0.146, 0.209, 0.448)
Cu (0.854, 0.791, 0.552)
Ge (0.436, 0.633, 0.358)
Ge (0.564, 0.367, 0.642)

No. 5
Compound: CaTmAgPt
Source: Alexandria via LeMat-Bulk
Functional: GGA-PBE
Structure: optimized geometry

SG	No. 216
formation energy from the elements	-705	meV/atom
total moment	0.0	Bohr magnetons per cell

Cell: 4.991 4.991 4.991 Å, 60.00 60.00 60.00°
Fractional coordinates of all 4 atoms:
Ca (0.000, 0.000, 0.000)
Tm (0.500, 0.500, 0.500)
Ag (0.750, 0.750, 0.750)
Pt (0.250, 0.250, 0.250)

No. 6
Compound: Mg2ScTa
Source: Alexandria via LeMat-Bulk
Functional: GGA-PBE
Structure: optimized geometry

SG	No. 47
formation energy from the elements	282	meV/atom
total moment	0.0	Bohr magnetons per cell
relative energy among the computed polymorphs	212	meV/atom

Cell: 3.148 4.950 5.315 Å, 90.00 90.00 90.00°
Fractional coordinates of all 4 atoms:
Mg (0.000, 0.000, 0.000)
Mg (0.500, 0.500, 0.000)
Sc (0.000, 0.500, 0.500)
Ta (0.500, 0.000, 0.500)

No. 7
Compound: Mg6CuNi
Source: Alexandria via LeMat-Bulk
Functional: GGA-PBE
Structure: optimized geometry

SG	No. 38
formation energy from the elements	38	meV/atom
total moment	0.0	Bohr magnetons per cell
relative energy among the computed polymorphs	66	meV/atom

Cell: 4.677 5.910 5.910 Å, 64.42 90.00 90.00°
Fractional coordinates of all 8 atoms:
Mg (0.000, 0.000, 0.000)
Mg (0.000, 0.015, 0.506)
Mg (0.000, 0.497, 0.497)
Mg (0.000, 0.506, 0.015)
Mg (0.500, 0.325, 0.822)
Mg (0.500, 0.822, 0.325)
Cu (0.500, 0.828, 0.828)
Ni (0.500, 0.326, 0.326)

No. 8
Compound: Ho4AgRu2Au
Source: Alexandria via LeMat-Bulk
Functional: GGA-PBE
Structure: optimized geometry

SG	No. 166
formation energy from the elements	-491	meV/atom
total moment	0.0	Bohr magnetons per cell

Cell: 8.534 8.534 8.534 Å, 33.58 33.58 33.58°
Fractional coordinates of all 8 atoms:
Ho (0.125, 0.125, 0.125)
Ho (0.375, 0.375, 0.375)
Ho (0.625, 0.625, 0.625)
Ho (0.875, 0.875, 0.875)
Ag (0.500, 0.500, 0.500)
Ru (0.249, 0.249, 0.249)
Ru (0.751, 0.751, 0.751)
Au (0.000, 0.000, 0.000)

Question: Which of these has the lowest formation energy from the elements?
Answer: CaTmAgPt

Question: formation energy from the elements of number 5 (CaTmAgPt)?
Answer: -705 meV/atom

Question: Look up the formation energy from the elements of the third one.
Answer: 2583 meV/atom

Question: What is the formula in the eighth record?
Answer: Ho4AgRu2Au